# Ge2RuAu2 (PBE, relaxed)
# ΔH_f (0 K): 0.18 eV/atom
# ρ: 12.29 g/cm3
data_Ge2RuAu2
_cell_length_a 6.677
_cell_length_b 6.677
_cell_length_c 3.881
_cell_angle_alpha 90.00
_cell_angle_beta 90.00
_cell_angle_gamma 90.00
_space_group_name_H-M_alt 'P 4/m b m'
_space_group_IT_number 127
_space_group_name_Hall '-P 4 2ab'
loop_
_atom_site_label
_atom_site_type_symbol
_atom_site_fract_x
_atom_site_fract_y
_atom_site_fract_z
Ge1 Ge 0.153 0.347 0.000
Ru1 Ru 0.000 0.000 0.000
Au1 Au 0.154 0.654 0.500

---

# BaP2Pb (PBE, relaxed)
# ΔH_f (0 K): -0.27 eV/atom
# ρ: 6.17 g/cm3
data_BaP2Pb
_cell_length_a 4.103
_cell_length_b 4.043
_cell_length_c 6.604
_cell_angle_alpha 90.00
_cell_angle_beta 92.93
_cell_angle_gamma 90.00
_space_group_name_H-M_alt 'P 1 2/m 1'
_space_group_IT_number 10
loop_
_space_group_symop_operation_xyz
'x,y,z'
'-x,-y,-z'
'-x,y,-z'
'x,-y,z'
loop_
_atom_site_label
_atom_site_type_symbol
_atom_site_fract_x
_atom_site_fract_y
_atom_site_fract_z
Ba1 Ba 0.000 0.000 0.000
P1 P 0.488 0.500 0.325
Pb1 Pb 0.000 0.000 0.500

---

# La2HoThS4 (PBE, relaxed)
# E_form (uncorrected): -1569 kJ/mol of formula units
# ρ: 7.05 g/cm3
data_La2HoThS4
_cell_length_a 7.041
_cell_length_b 4.034
_cell_length_c 7.053
_cell_angle_alpha 90.00
_cell_angle_beta 109.17
_cell_angle_gamma 90.00
_space_group_name_H-M_alt 'P 1 2/m 1'
_space_group_IT_number 10
loop_
_space_group_symop_operation_xyz
'x,y,z'
'-x,-y,-z'
'-x,y,-z'
'x,-y,z'
loop_
_atom_site_label
_atom_site_type_symbol
_atom_site_fract_x
_atom_site_fract_y
_atom_site_fract_z
La1 La 0.000 0.000 0.000
La2 La 0.000 0.500 0.500
Ho1 Ho 0.500 0.000 0.500
Th1 Th 0.500 0.500 0.000
S1 S 0.262 0.000 0.746
S2 S 0.268 0.500 0.263

---

# Tm6TcPd (PBE, relaxed)
# ΔE to the lowest computed polymorph: 0 meV/atom
# ΔH_f (0 K): -0.26 eV/atom
# ρ: 9.64 g/cm3
data_Tm6TcPd
_cell_length_a 6.3617
_cell_length_b 6.3617
_cell_length_c 5.9828
_cell_angle_alpha 90.00
_cell_angle_beta 90.00
_cell_angle_gamma 120.00
_space_group_name_H-M_alt 'P -3 1 m'
_space_group_IT_number 162
_space_group_name_Hall '-P 3 2'
loop_
_atom_site_label
_atom_site_type_symbol
_atom_site_fract_x
_atom_site_fract_y
_atom_site_fract_z
Tm1 Tm 0.0000 0.3666 0.2444
Tc1 Tc 0.0000 0.0000 0.0000
Pd1 Pd 0.0000 0.0000 0.5000

---

# BeNiOs2 (PBE, relaxed)
# ΔH_f (0 K): 0.00 eV/atom
# ρ: 15.38 g/cm3
data_BeNiOs2
_cell_length_a 3.844
_cell_length_b 2.699
_cell_length_c 9.324
_cell_angle_alpha 90.00
_cell_angle_beta 90.00
_cell_angle_gamma 90.00
_space_group_name_H-M_alt 'A m m 2'
_space_group_IT_number 38
loop_
_space_group_symop_operation_xyz
'x,y,z'
'-x,-y,z'
'-x,y,z'
'x,-y,z'
'x,y+1/2,z+1/2'
'-x,-y+1/2,z+1/2'
'-x,y+1/2,z+1/2'
'x,-y+1/2,z+1/2'
loop_
_atom_site_label
_atom_site_type_symbol
_atom_site_fract_x
_atom_site_fract_y
_atom_site_fract_z
Be1 Be 0.000 0.000 0.000
Ni1 Ni 0.500 0.000 0.110
Os1 Os 0.000 0.000 0.744
Os2 Os 0.500 0.000 0.377

---

# Cs12RbCd5 (PBE, relaxed)
# ΔH_f (0 K): -0.02 eV/atom
# ρ: 2.72 g/cm3
data_Cs12RbCd5
_cell_length_a 13.522
_cell_length_b 13.714
_cell_length_c 14.774
_cell_angle_alpha 90.00
_cell_angle_beta 90.00
_cell_angle_gamma 90.00
_space_group_name_H-M_alt 'I m m m'
_space_group_IT_number 71
_space_group_name_Hall '-I 2 2'
loop_
_atom_site_label
_atom_site_type_symbol
_atom_site_fract_x
_atom_site_fract_y
_atom_site_fract_z
Cs1 Cs 0.000 0.196 0.214
Cs2 Cs 0.188 0.500 0.182
Cs3 Cs 0.217 0.321 0.500
Rb1 Rb 0.000 0.000 0.500
Cd1 Cd 0.000 0.000 0.000
Cd2 Cd 0.000 0.389 0.000
Cd3 Cd 0.000 0.500 0.398